Record 1
The following is a DFT calculation (meta-GGA SCAN) of CrCu2Cl at its PBEsol-relaxed geometry.

Unit cell a=4.324 b=4.324 c=4.324 alpha=60.00 beta=60.00 gamma=60.00
Atoms (fractional coordinates):
Cr: 0.000 0.000 0.000
Cu: 0.500 0.500 0.500
Cu: 0.750 0.750 0.750
Cl: 0.250 0.250 0.250

Computed properties:
E_form (uncorrected): 430 meV/atom
M_tot: 4.4 μB per formula unit
space group: No. 216



Record 2
The following is a DFT calculation (meta-GGA SCAN) of Ca2NiAg at its PBEsol-relaxed geometry.

Unit cell a=4.239 b=5.747 c=5.747 alpha=41.65 beta=90.00 gamma=90.00
Atoms (fractional coordinates):
Ca: 0.000 0.000 0.000
Ca: 0.500 0.285 0.285
Ni: 0.000 0.711 0.711
Ag: 0.500 0.578 0.578

Computed properties:
formation energy: -0.1497 eV per atom
M_tot: 0.0 μB per formula unit
space group: No. 38



Record 3
The following is a DFT calculation (meta-GGA SCAN) of CdTc2Ir at its PBEsol-relaxed geometry.

Unit cell a=4.788 b=4.788 c=4.871 alpha=100.08 beta=100.08 gamma=33.40
Atoms (fractional coordinates):
Cd: 0.000 0.000 0.000
Tc: 0.236 0.236 0.706
Tc: 0.495 0.495 0.505
Ir: 0.760 0.760 0.255

Computed properties:
formation energy: 0.2273 eV per atom
M_tot: 0.0 μB per formula unit
space group: No. 8



Record 4
The following is a DFT calculation (meta-GGA SCAN) of PdSeSBr2 at its PBEsol-relaxed geometry.

Unit cell a=4.875 b=4.875 c=4.903 alpha=90.00 beta=90.00 gamma=90.00
Atoms (fractional coordinates):
Pd: 0.000 0.000 0.000
Se: 0.500 0.500 0.000
S: 0.500 0.500 0.500
Br: 0.000 0.500 0.500
Br: 0.500 0.000 0.500

Computed properties:
E_form (uncorrected): 691 meV/atom
M_tot: 1.2 μB per formula unit
space group: No. 123



Record 5
The following is a DFT calculation (meta-GGA SCAN) of OsBrCl2 at its PBEsol-relaxed geometry.

Unit cell a=5.947 b=5.947 c=6.023 alpha=120.30 beta=120.30 gamma=32.85
Atoms (fractional coordinates):
Os: 0.000 0.000 0.000
Br: 0.671 0.671 0.013
Cl: 0.356 0.356 0.707
Cl: 0.508 0.508 0.284

Computed properties:
E_form (uncorrected): 80 meV/atom
M_tot: 1.0 μB per formula unit
space group: No. 8



Record 6
The following is a DFT calculation (meta-GGA SCAN) of Cr2NiMo at its PBEsol-relaxed geometry.

Unit cell a=2.476 b=2.476 c=7.916 alpha=90.00 beta=90.00 gamma=90.00
Atoms (fractional coordinates):
Cr: 0.000 0.000 0.224
Cr: 0.000 0.000 0.776
Ni: 0.500 0.500 0.000
Mo: 0.500 0.500 0.500

Computed properties:
formation energy: 0.2319 eV per atom
M_tot: 0.0 μB per formula unit
space group: No. 123



Record 7
The following is a DFT calculation (meta-GGA SCAN) of Ba2NbP2O9F at its PBEsol-relaxed geometry.

Unit cell a=7.090 b=7.196 c=9.030 alpha=90.00 beta=90.79 gamma=90.00
Atoms (fractional coordinates):
Ba: 0.170 0.000 0.066
Ba: 0.173 0.218 0.573
Ba: 0.827 0.718 0.427
Ba: 0.830 0.500 0.934
Nb: 0.476 0.356 0.252
Nb: 0.524 0.856 0.748
P: 0.301 0.719 0.426
P: 0.303 0.505 0.927
P: 0.697 0.005 0.073
P: 0.699 0.219 0.574
O: 0.175 0.578 0.502
O: 0.176 0.642 0.005
O: 0.185 0.878 0.358
O: 0.189 0.345 0.861
O: 0.236 0.282 0.269
O: 0.429 0.602 0.808
O: 0.433 0.626 0.308
O: 0.452 0.803 0.537
O: 0.460 0.425 0.036
O: 0.540 0.925 0.964
O: 0.548 0.303 0.463
O: 0.567 0.126 0.692
O: 0.571 0.102 0.192
O: 0.764 0.782 0.731
O: 0.811 0.845 0.139
O: 0.815 0.378 0.642
O: 0.824 0.142 0.995
O: 0.825 0.078 0.498
F: 0.240 0.950 0.772
F: 0.760 0.450 0.228

Computed properties:
E_form (uncorrected): -3044 meV/atom
M_tot: 0.0 μB per formula unit
space group: No. 4



Record 8
The following is a DFT calculation (meta-GGA SCAN) of MgMnSe2 at its PBEsol-relaxed geometry.

Unit cell a=6.621 b=6.621 c=6.621 alpha=33.59 beta=33.59 gamma=33.59
Atoms (fractional coordinates):
Mg: 0.000 0.000 0.000
Mn: 0.500 0.500 0.500
Se: 0.248 0.248 0.248
Se: 0.752 0.752 0.752

Computed properties:
E_form (uncorrected): -1163 meV/atom
M_tot: 5.0 μB per formula unit
space group: No. 166